# Pm8SiPt3Br4

A geometry-optimized Pm8SiPt3Br4 structure (PBE, the Alexandria database).

Properties
raw formation energy = -1.174 eV per atom

```
data_Pm8SiPt3Br4
_chemical_formula_sum 'Pm16 Si2 Pt6 Br8'
_symmetry_space_group_name_H-M 'C 1 2/m 1'
_symmetry_Int_Tables_number 12
_symmetry_space_group_name_Hall '-C 2y'
_cell_length_a 14.6362
_cell_length_b 8.4491
_cell_length_c 8.9936
_cell_angle_alpha 90.00
_cell_angle_beta 122.86
_cell_angle_gamma 90.00
loop_
_atom_site_label
_atom_site_type_symbol
_atom_site_fract_x
_atom_site_fract_y
_atom_site_fract_z
_atom_site_occupancy
Pm1 Pm 0.0163 0.2458 0.2965 1
Pm2 Pm 0.2334 0.0000 0.6980 1
Pm3 Pm 0.2374 0.5000 0.7033 1
Si1 Si 0.0000 0.5000 0.5000 1
Pt1 Pt 0.0000 0.0000 0.5000 1
Pt2 Pt 0.2500 0.2500 0.5000 1
Br1 Br 0.0000 0.0000 0.0000 1
Br2 Br 0.0000 0.5000 0.0000 1
Br3 Br 0.2500 0.2500 0.0000 1
```

# RePd2S

A geometry-optimized RePd2S structure (PBE, the Alexandria database).

Properties
raw formation energy = 0.774 eV per atom
polymorph energy (0 for the lowest one) = 0.3228 eV/atom

```
data_RePd2S
_chemical_formula_sum 'Re4 Pd8 S4'
_symmetry_space_group_name_H-M 'F m -3 m'
_symmetry_Int_Tables_number 225
_symmetry_space_group_name_Hall '-F 4 2 3'
_cell_length_a 6.2756
_cell_length_b 6.2756
_cell_length_c 6.2756
_cell_angle_alpha 90.00
_cell_angle_beta 90.00
_cell_angle_gamma 90.00
loop_
_atom_site_label
_atom_site_type_symbol
_atom_site_fract_x
_atom_site_fract_y
_atom_site_fract_z
_atom_site_occupancy
Re1 Re 0.0000 0.0000 0.0000 1
Pd1 Pd 0.2500 0.2500 0.2500 1
S1 S 0.0000 0.0000 0.5000 1
```

# Li2TlOsBr8

A geometry-optimized Li2TlOsBr8 structure (PBE, the Alexandria database).

Properties
raw formation energy = -0.653 eV per atom

```
data_Li2TlOsBr8
_chemical_formula_sum 'Li2 Tl1 Os1 Br8'
_symmetry_space_group_name_H-M 'P -1'
_symmetry_Int_Tables_number 2
_symmetry_space_group_name_Hall '-P 1'
_cell_length_a 6.3929
_cell_length_b 6.7317
_cell_length_c 8.2513
_cell_angle_alpha 88.59
_cell_angle_beta 86.97
_cell_angle_gamma 82.77
loop_
_atom_site_label
_atom_site_type_symbol
_atom_site_fract_x
_atom_site_fract_y
_atom_site_fract_z
_atom_site_occupancy
Li1 Li 0.0526 0.0319 0.2458 1
Tl1 Tl 0.5000 0.5000 0.5000 1
Os1 Os 0.5000 0.5000 0.0000 1
Br1 Br 0.2113 0.8497 0.5071 1
Br2 Br 0.2377 0.8170 0.9949 1
Br3 Br 0.2795 0.3600 0.2251 1
Br4 Br 0.2996 0.3498 0.7948 1
```

# MnCd2Tc

A geometry-optimized MnCd2Tc structure (PBE, the Alexandria database).

Properties
polymorph energy (0 for the lowest one) = 0.2211 eV/atom
formation enthalpy at 0 K = 403 meV per atom

```
data_MnCd2Tc
_chemical_formula_sum 'Mn2 Cd4 Tc2'
_symmetry_space_group_name_H-M 'C m m m'
_symmetry_Int_Tables_number 65
_symmetry_space_group_name_Hall '-C 2 2'
_cell_length_a 5.7150
_cell_length_b 8.5826
_cell_length_c 2.8126
_cell_angle_alpha 90.00
_cell_angle_beta 90.00
_cell_angle_gamma 90.00
loop_
_atom_site_label
_atom_site_type_symbol
_atom_site_fract_x
_atom_site_fract_y
_atom_site_fract_z
_atom_site_occupancy
Mn1 Mn 0.0000 0.0000 0.0000 1
Cd1 Cd 0.2500 0.2500 0.5000 1
Tc1 Tc 0.0000 0.5000 0.0000 1
```

Number 1: total moment 0.0000 μB per atom, density 7.44 g/cm³. Number 2: total moment 0.0002 μB per atom, density 11.59 g/cm³. Number 3: total moment 0.0893 μB per atom, density 4.95 g/cm³. Number 4: total moment 1.0089 μB per atom, density 9.09 g/cm³.